(1)
# SrTiCd2Ag | Alexandria | PBE-GGA | relaxed
# Symmetry: No. 123
# Fermi-level density of states (states/eV per cell): 4.336
data_SrTiCd2Ag
_chemical_formula_sum 'Sr1 Ti1 Cd2 Ag1'
_cell_length_a 5.279
_cell_length_b 5.279
_cell_length_c 5.179
_cell_angle_alpha 90.00
_cell_angle_beta 90.00
_cell_angle_gamma 90.00
_symmetry_space_group_name_H-M 'P 1'
_symmetry_Int_Tables_number 1
loop_
_symmetry_equiv_pos_as_xyz
'x,y,z'
loop_
_atom_site_label
_atom_site_fract_x
_atom_site_fract_y
_atom_site_fract_z
Sr1 0.000 0.000 0.000
Ti1 0.500 0.500 0.000
Cd1 0.000 0.500 0.500
Cd2 0.500 0.000 0.500
Ag1 0.500 0.500 0.500

---

(2)
# SrTi2CdAg | Alexandria | PBE-GGA | relaxed
# Symmetry: No. 123
# Fermi-level density of states (states/eV per cell): 7.803
data_SrTi2CdAg
_chemical_formula_sum 'Sr1 Ti2 Cd1 Ag1'
_cell_length_a 5.157
_cell_length_b 5.157
_cell_length_c 6.025
_cell_angle_alpha 90.00
_cell_angle_beta 90.00
_cell_angle_gamma 90.00
_symmetry_space_group_name_H-M 'P 1'
_symmetry_Int_Tables_number 1
loop_
_symmetry_equiv_pos_as_xyz
'x,y,z'
loop_
_atom_site_label
_atom_site_fract_x
_atom_site_fract_y
_atom_site_fract_z
Sr1 0.000 0.000 0.000
Ti1 0.000 0.500 0.500
Ti2 0.500 0.000 0.500
Cd1 0.000 0.000 0.500
Ag1 0.500 0.500 0.000

---

(3)
# Sr2TlCd3Ag4 | Alexandria | PBE-GGA | relaxed
# Symmetry: No. 115
# Fermi-level density of states (states/eV per cell): 5.165
data_Sr2TlCd3Ag4
_chemical_formula_sum 'Sr2 Tl1 Cd3 Ag4'
_cell_length_a 4.637
_cell_length_b 4.637
_cell_length_c 12.247
_cell_angle_alpha 90.00
_cell_angle_beta 90.00
_cell_angle_gamma 90.00
_symmetry_space_group_name_H-M 'P 1'
_symmetry_Int_Tables_number 1
loop_
_symmetry_equiv_pos_as_xyz
'x,y,z'
loop_
_atom_site_label
_atom_site_fract_x
_atom_site_fract_y
_atom_site_fract_z
Sr1 0.000 0.500 0.244
Sr2 0.500 0.000 0.756
Tl1 0.000 0.000 0.500
Cd1 0.000 0.500 0.870
Cd2 0.500 0.000 0.130
Cd3 0.500 0.500 0.500
Ag1 0.000 0.000 0.000
Ag2 0.000 0.500 0.647
Ag3 0.500 0.000 0.353
Ag4 0.500 0.500 0.000

---

(4)
# Sr2Tl6CdAg | Alexandria | PBE-GGA | relaxed
# Symmetry: No. 2
# Fermi-level density of states (states/eV per cell): 5.503
data_Sr2Tl6CdAg
_chemical_formula_sum 'Sr2 Tl6 Cd1 Ag1'
_cell_length_a 6.878
_cell_length_b 6.880
_cell_length_c 6.928
_cell_angle_alpha 90.05
_cell_angle_beta 106.16
_cell_angle_gamma 92.01
_symmetry_space_group_name_H-M 'P 1'
_symmetry_Int_Tables_number 1
loop_
_symmetry_equiv_pos_as_xyz
'x,y,z'
loop_
_atom_site_label
_atom_site_fract_x
_atom_site_fract_y
_atom_site_fract_z
Sr1 0.157 0.261 0.172
Sr2 0.843 0.739 0.828
Tl1 0.134 0.124 0.679
Tl2 0.344 0.594 0.824
Tl3 0.372 0.771 0.373
Tl4 0.628 0.229 0.627
Tl5 0.656 0.406 0.176
Tl6 0.866 0.876 0.321
Cd1 0.500 0.000 0.000
Ag1 0.000 0.500 0.500

---

(5)
# Sr2TlCd4Ag3 | Alexandria | PBE-GGA | relaxed
# Symmetry: No. 115
# Fermi-level density of states (states/eV per cell): 5.535
data_Sr2TlCd4Ag3
_chemical_formula_sum 'Sr2 Tl1 Cd4 Ag3'
_cell_length_a 4.511
_cell_length_b 4.511
_cell_length_c 13.040
_cell_angle_alpha 90.00
_cell_angle_beta 90.00
_cell_angle_gamma 90.00
_symmetry_space_group_name_H-M 'P 1'
_symmetry_Int_Tables_number 1
loop_
_symmetry_equiv_pos_as_xyz
'x,y,z'
loop_
_atom_site_label
_atom_site_fract_x
_atom_site_fract_y
_atom_site_fract_z
Sr1 0.000 0.500 0.239
Sr2 0.500 0.000 0.761
Tl1 0.000 0.000 0.500
Cd1 0.000 0.000 0.000
Cd2 0.000 0.500 0.649
Cd3 0.500 0.000 0.351
Cd4 0.500 0.500 0.000
Ag1 0.000 0.500 0.860
Ag2 0.500 0.000 0.140
Ag3 0.500 0.500 0.500

---

(6)
# SrTmCdAg | Alexandria | PBE-GGA | relaxed
# Symmetry: No. 216
# Fermi-level density of states (states/eV per cell): 10.249
data_SrTmCdAg
_chemical_formula_sum 'Sr4 Tm4 Cd4 Ag4'
_cell_length_a 7.599
_cell_length_b 7.599
_cell_length_c 7.599
_cell_angle_alpha 90.00
_cell_angle_beta 90.00
_cell_angle_gamma 90.00
_symmetry_space_group_name_H-M 'P 1'
_symmetry_Int_Tables_number 1
loop_
_symmetry_equiv_pos_as_xyz
'x,y,z'
loop_
_atom_site_label
_atom_site_fract_x
_atom_site_fract_y
_atom_site_fract_z
Sr1 0.000 0.000 0.000
Sr2 0.000 0.500 0.500
Sr3 0.500 0.000 0.500
Sr4 0.500 0.500 0.000
Tm1 0.000 0.000 0.500
Tm2 0.000 0.500 0.000
Tm3 0.500 0.000 0.000
Tm4 0.500 0.500 0.500
Cd1 0.250 0.250 0.750
Cd2 0.250 0.750 0.250
Cd3 0.750 0.250 0.250
Cd4 0.750 0.750 0.750
Ag1 0.250 0.250 0.250
Ag2 0.250 0.750 0.750
Ag3 0.750 0.250 0.750
Ag4 0.750 0.750 0.250

---

(7)
# Sr2YCd12Ag3 | Alexandria | PBE-GGA | relaxed
# Symmetry: No. 166
# Fermi-level density of states (states/eV per cell): 7.137
data_Sr2YCd12Ag3
_chemical_formula_sum 'Sr2 Y1 Cd12 Ag3'
_cell_length_a 9.461
_cell_length_b 9.461
_cell_length_c 9.461
_cell_angle_alpha 54.36
_cell_angle_beta 54.36
_cell_angle_gamma 54.36
_symmetry_space_group_name_H-M 'P 1'
_symmetry_Int_Tables_number 1
loop_
_symmetry_equiv_pos_as_xyz
'x,y,z'
loop_
_atom_site_label
_atom_site_fract_x
_atom_site_fract_y
_atom_site_fract_z
Sr1 0.090 0.090 0.090
Sr2 0.910 0.910 0.910
Y1 0.500 0.500 0.500
Cd1 0.030 0.669 0.669
Cd2 0.272 0.272 0.648
Cd3 0.272 0.648 0.272
Cd4 0.331 0.331 0.970
Cd5 0.331 0.970 0.331
Cd6 0.352 0.728 0.728
Cd7 0.648 0.272 0.272
Cd8 0.669 0.030 0.669
Cd9 0.669 0.669 0.030
Cd10 0.728 0.352 0.728
Cd11 0.728 0.728 0.352
Cd12 0.970 0.331 0.331
Ag1 0.000 0.500 0.500
Ag2 0.500 0.000 0.500
Ag3 0.500 0.500 0.000

---

(8)
# SrYCdAg | Alexandria | PBE-GGA | relaxed
# Symmetry: No. 216
# Fermi-level density of states (states/eV per cell): 11.178
data_SrYCdAg
_chemical_formula_sum 'Sr4 Y4 Cd4 Ag4'
_cell_length_a 7.655
_cell_length_b 7.655
_cell_length_c 7.655
_cell_angle_alpha 90.00
_cell_angle_beta 90.00
_cell_angle_gamma 90.00
_symmetry_space_group_name_H-M 'P 1'
_symmetry_Int_Tables_number 1
loop_
_symmetry_equiv_pos_as_xyz
'x,y,z'
loop_
_atom_site_label
_atom_site_fract_x
_atom_site_fract_y
_atom_site_fract_z
Sr1 0.000 0.000 0.000
Sr2 0.000 0.500 0.500
Sr3 0.500 0.000 0.500
Sr4 0.500 0.500 0.000
Y1 0.000 0.000 0.500
Y2 0.000 0.500 0.000
Y3 0.500 0.000 0.000
Y4 0.500 0.500 0.500
Cd1 0.250 0.250 0.250
Cd2 0.250 0.750 0.750
Cd3 0.750 0.250 0.750
Cd4 0.750 0.750 0.250
Ag1 0.250 0.250 0.750
Ag2 0.250 0.750 0.250
Ag3 0.750 0.250 0.250
Ag4 0.750 0.750 0.750

---

(9)
# Sr2Zn2CdAg5 | Alexandria | PBE-GGA | relaxed
# Symmetry: No. 127
# Fermi-level density of states (states/eV per cell): 7.517
data_Sr2Zn2CdAg5
_chemical_formula_sum 'Sr4 Zn4 Cd2 Ag10'
_cell_length_a 10.526
_cell_length_b 10.526
_cell_length_c 4.051
_cell_angle_alpha 90.00
_cell_angle_beta 90.00
_cell_angle_gamma 90.00
_symmetry_space_group_name_H-M 'P 1'
_symmetry_Int_Tables_number 1
loop_
_symmetry_equiv_pos_as_xyz
'x,y,z'
loop_
_atom_site_label
_atom_site_fract_x
_atom_site_fract_y
_atom_site_fract_z
Sr1 0.180 0.320 0.000
Sr2 0.320 0.820 0.000
Sr3 0.680 0.180 0.000
Sr4 0.820 0.680 0.000
Zn1 0.117 0.617 0.000
Zn2 0.383 0.117 0.000
Zn3 0.617 0.883 0.000
Zn4 0.883 0.383 0.000
Cd1 0.000 0.000 0.000
Cd2 0.500 0.500 0.000
Ag1 0.000 0.500 0.500
Ag2 0.057 0.795 0.500
Ag3 0.205 0.057 0.500
Ag4 0.295 0.557 0.500
Ag5 0.443 0.295 0.500
Ag6 0.500 0.000 0.500
Ag7 0.557 0.705 0.500
Ag8 0.705 0.443 0.500
Ag9 0.795 0.943 0.500
Ag10 0.943 0.205 0.500

---

(10)
# SrZnCd2Ag | Alexandria | PBE-GGA | relaxed
# Symmetry: No. 123
# Fermi-level density of states (states/eV per cell): 2.297
data_SrZnCd2Ag
_chemical_formula_sum 'Sr1 Zn1 Cd2 Ag1'
_cell_length_a 6.368
_cell_length_b 6.368
_cell_length_c 6.099
_cell_angle_alpha 90.00
_cell_angle_beta 90.00
_cell_angle_gamma 90.00
_symmetry_space_group_name_H-M 'P 1'
_symmetry_Int_Tables_number 1
loop_
_symmetry_equiv_pos_as_xyz
'x,y,z'
loop_
_atom_site_label
_atom_site_fract_x
_atom_site_fract_y
_atom_site_fract_z
Sr1 0.000 0.000 0.000
Zn1 0.000 0.000 0.500
Cd1 0.000 0.500 0.000
Cd2 0.500 0.000 0.000
Ag1 0.500 0.500 0.500

---

(11)
# Sr2ZnCd3Ag12 | Alexandria | PBE-GGA | relaxed
# Symmetry: No. 166
# Fermi-level density of states (states/eV per cell): 3.275
data_Sr2ZnCd3Ag12
_chemical_formula_sum 'Sr2 Zn1 Cd3 Ag12'
_cell_length_a 8.578
_cell_length_b 8.578
_cell_length_c 8.578
_cell_angle_alpha 64.38
_cell_angle_beta 64.38
_cell_angle_gamma 64.38
_symmetry_space_group_name_H-M 'P 1'
_symmetry_Int_Tables_number 1
loop_
_symmetry_equiv_pos_as_xyz
'x,y,z'
loop_
_atom_site_label
_atom_site_fract_x
_atom_site_fract_y
_atom_site_fract_z
Sr1 0.107 0.107 0.107
Sr2 0.893 0.893 0.893
Zn1 0.500 0.500 0.500
Cd1 0.000 0.500 0.500
Cd2 0.500 0.000 0.500
Cd3 0.500 0.500 0.000
Ag1 0.134 0.134 0.494
Ag2 0.134 0.494 0.134
Ag3 0.154 0.633 0.633
Ag4 0.367 0.367 0.846
Ag5 0.367 0.846 0.367
Ag6 0.494 0.134 0.134
Ag7 0.506 0.866 0.866
Ag8 0.633 0.154 0.633
Ag9 0.633 0.633 0.154
Ag10 0.846 0.367 0.367
Ag11 0.866 0.506 0.866
Ag12 0.866 0.866 0.506

---

(12)
# Sr2ZnCd3Ag4 | Alexandria | PBE-GGA | relaxed
# Symmetry: No. 115
# Fermi-level density of states (states/eV per cell): 2.054
data_Sr2ZnCd3Ag4
_chemical_formula_sum 'Sr2 Zn1 Cd3 Ag4'
_cell_length_a 4.709
_cell_length_b 4.709
_cell_length_c 11.385
_cell_angle_alpha 90.00
_cell_angle_beta 90.00
_cell_angle_gamma 90.00
_symmetry_space_group_name_H-M 'P 1'
_symmetry_Int_Tables_number 1
loop_
_symmetry_equiv_pos_as_xyz
'x,y,z'
loop_
_atom_site_label
_atom_site_fract_x
_atom_site_fract_y
_atom_site_fract_z
Sr1 0.000 0.500 0.250
Sr2 0.500 0.000 0.750
Zn1 0.000 0.000 0.500
Cd1 0.000 0.500 0.867
Cd2 0.500 0.000 0.133
Cd3 0.500 0.500 0.500
Ag1 0.000 0.000 0.000
Ag2 0.000 0.500 0.627
Ag3 0.500 0.000 0.373
Ag4 0.500 0.500 0.000

---

Table of ΔH_f (0 K) (meV per atom), in record order: 316; 986; -187; -116; -208; -212; 66; -236; -151; 781; 144; -197